Density functional theory data (PBE) for an optimized crystal structure of TaAlPCl2.

Cell lengths 4.226, 4.226, 6.256 Å; angles 90.00, 90.00, 90.00 degrees
Element x y z (fractional)
Ta: 0.000 0.000 0.000
Al: 0.000 0.000 0.500
P: 0.500 0.500 0.000
Cl: 0.000 0.500 0.500
Cl: 0.500 0.000 0.500

For the energy relative to the elements, uncorrected, the calculation gives 2.554 eV per formula unit. The size of the total moment is 0.811 μB/cell.

---

Density functional theory data (PBE) for an optimized crystal structure of TaAlPCl2.

Cell lengths 4.897, 4.897, 4.911 Å; angles 90.00, 90.00, 90.00 degrees
Element x y z (fractional)
Ta: 0.000 0.000 0.000
Al: 0.500 0.500 0.500
P: 0.000 0.000 0.500
Cl: 0.000 0.500 0.000
Cl: 0.500 0.000 0.000

For the energy relative to the elements, uncorrected, the calculation gives -0.583 eV per formula unit. The size of the total moment is 0.103 μB/cell.

---

Density functional theory data (PBE) for an optimized crystal structure of TaAlP2Cl.

Cell lengths 4.654, 4.654, 4.404 Å; angles 90.00, 90.00, 90.00 degrees
Element x y z (fractional)
Ta: 0.000 0.000 0.000
Al: 0.500 0.500 0.500
P: 0.000 0.500 0.500
P: 0.500 0.000 0.500
Cl: 0.500 0.500 0.000

For the energy relative to the elements, uncorrected, the calculation gives 3.489 eV per formula unit. The size of the total moment is 1.409 μB/cell.

---

Density functional theory data (PBE) for an optimized crystal structure of AlTlPCl2.

Cell lengths 4.811, 4.811, 4.928 Å; angles 90.00, 90.00, 90.00 degrees
Element x y z (fractional)
Al: 0.000 0.000 0.000
Tl: 0.500 0.500 0.500
P: 0.000 0.000 0.500
Cl: 0.000 0.500 0.000
Cl: 0.500 0.000 0.000

For the energy relative to the elements, uncorrected, the calculation gives -2.354 eV per formula unit. The size of the total moment is 0.000 μB/cell.

---

Density functional theory data (PBE) for an optimized crystal structure of AlTlPCl2.

Cell lengths 5.577, 5.577, 5.243 Å; angles 90.00, 90.00, 90.00 degrees
Element x y z (fractional)
Al: 0.000 0.000 0.000
Tl: 0.500 0.500 0.500
P: 0.500 0.500 0.000
Cl: 0.000 0.500 0.500
Cl: 0.500 0.000 0.500

For the energy relative to the elements, uncorrected, the calculation gives 1.339 eV per formula unit. The size of the total moment is 1.604 μB/cell.

---

Density functional theory data (PBE) for an optimized crystal structure of AlTl2PCl.

Cell lengths 5.626, 5.626, 4.699 Å; angles 90.00, 90.00, 90.00 degrees
Element x y z (fractional)
Al: 0.000 0.000 0.000
Tl: 0.000 0.500 0.500
Tl: 0.500 0.000 0.500
P: 0.500 0.500 0.500
Cl: 0.500 0.500 0.000

For the energy relative to the elements, uncorrected, the calculation gives 2.011 eV per formula unit. The size of the total moment is 0.000 μB/cell.

---

Density functional theory data (PBE) for an optimized crystal structure of AlVPCl2.

Cell lengths 4.553, 4.553, 5.028 Å; angles 90.00, 90.00, 90.00 degrees
Element x y z (fractional)
Al: 0.000 0.000 0.000
V: 0.500 0.500 0.500
P: 0.000 0.000 0.500
Cl: 0.000 0.500 0.000
Cl: 0.500 0.000 0.000

For the energy relative to the elements, uncorrected, the calculation gives 0.356 eV per formula unit. The size of the total moment is 2.894 μB/cell.

---

Density functional theory data (PBE) for an optimized crystal structure of AlVPCl2.

Cell lengths 4.837, 4.837, 4.732 Å; angles 90.00, 90.00, 90.00 degrees
Element x y z (fractional)
Al: 0.000 0.000 0.000
V: 0.500 0.500 0.500
P: 0.500 0.500 0.000
Cl: 0.000 0.500 0.500
Cl: 0.500 0.000 0.500

For the energy relative to the elements, uncorrected, the calculation gives -0.852 eV per formula unit. The size of the total moment is 1.108 μB/cell.

---

Density functional theory data (PBE) for an optimized crystal structure of AlZnPCl2.

Cell lengths 4.570, 4.570, 5.102 Å; angles 90.00, 90.00, 90.00 degrees
Element x y z (fractional)
Al: 0.000 0.000 0.000
Zn: 0.500 0.500 0.500
P: 0.000 0.000 0.500
Cl: 0.000 0.500 0.000
Cl: 0.500 0.000 0.000

For the energy relative to the elements, uncorrected, the calculation gives -0.983 eV per formula unit. The size of the total moment is 0.000 μB/cell.

---

Density functional theory data (PBE) for an optimized crystal structure of ZrAlP2Cl.

Cell lengths 4.695, 4.695, 4.461 Å; angles 90.00, 90.00, 90.00 degrees
Element x y z (fractional)
Zr: 0.000 0.000 0.000
Al: 0.500 0.500 0.500
P: 0.000 0.500 0.500
P: 0.500 0.000 0.500
Cl: 0.500 0.500 0.000

For the energy relative to the elements, uncorrected, the calculation gives 0.146 eV per formula unit. The size of the total moment is 0.000 μB/cell.

---

Density functional theory data (PBE) for an optimized crystal structure of ZrAlP2Cl.

Cell lengths 5.063, 5.063, 5.058 Å; angles 90.00, 90.00, 90.00 degrees
Element x y z (fractional)
Zr: 0.000 0.000 0.000
Al: 0.500 0.500 0.500
P: 0.000 0.500 0.000
P: 0.500 0.000 0.000
Cl: 0.000 0.000 0.500

For the energy relative to the elements, uncorrected, the calculation gives -0.188 eV per formula unit. The size of the total moment is 0.000 μB/cell.

---

Density functional theory data (PBE) for an optimized crystal structure of Al2PbCl.

Cell lengths 6.733, 6.733, 4.967 Å; angles 111.38, 111.38, 27.53 degrees
Element x y z (fractional)
Al: 0.000 0.000 0.000
Al: 0.682 0.682 0.342
Pb: 0.397 0.397 0.409
Cl: 0.193 0.193 0.724

For the energy relative to the elements, uncorrected, the calculation gives -0.403 eV per formula unit. The size of the total moment is 0.000 μB/cell.